1.
VASP calculation (PBE) on an optimized crystal structure of AcMg2Cd.

VASP energy = -2.149 eV per atom
DOS(E_F) = 1.40 states/eV/cell

a b c (Å): 5.372 5.372 5.372
angles (deg): 60.00 60.00 60.00
Fractional coordinates of all 4 atoms:
Ac 0.000 0.000 0.000
Mg 0.250 0.250 0.250
Mg 0.750 0.750 0.750
Cd 0.500 0.500 0.500

=====

2.
VASP calculation (PBE) on an optimized crystal structure of Ac5Mg4Cd.

VASP energy = -2.907 eV per atom
DOS(E_F) = 11.89 states/eV/cell

a b c (Å): 4.114 4.114 20.476
angles (deg): 90.00 90.00 90.00
Fractional coordinates of all 10 atoms:
Ac 0.000 0.000 0.000
Ac 0.000 0.000 0.201
Ac 0.000 0.000 0.401
Ac 0.000 0.000 0.599
Ac 0.000 0.000 0.799
Mg 0.500 0.500 0.100
Mg 0.500 0.500 0.299
Mg 0.500 0.500 0.701
Mg 0.500 0.500 0.900
Cd 0.500 0.500 0.500

=====

3.
VASP calculation (PBE) on an optimized crystal structure of AcMg3Cd2.

VASP energy = -1.971 eV per atom
DOS(E_F) = 8.87 states/eV/cell

a b c (Å): 5.026 5.026 14.611
angles (deg): 90.00 90.00 120.00
Fractional coordinates of all 12 atoms:
Ac 0.000 0.000 0.250
Ac 0.000 0.000 0.750
Mg 0.000 0.000 0.000
Mg 0.000 0.000 0.500
Mg 0.333 0.667 0.092
Mg 0.333 0.667 0.408
Mg 0.667 0.333 0.592
Mg 0.667 0.333 0.908
Cd 0.333 0.667 0.621
Cd 0.333 0.667 0.879
Cd 0.667 0.333 0.121
Cd 0.667 0.333 0.379

=====

4.
VASP calculation (PBE) on an optimized crystal structure of AcMgCd2.

VASP energy = -2.150 eV per atom
DOS(E_F) = 2.23 states/eV/cell

a b c (Å): 5.412 5.412 5.412
angles (deg): 60.00 60.00 60.00
Fractional coordinates of all 4 atoms:
Ac 0.000 0.000 0.000
Mg 0.500 0.500 0.500
Cd 0.250 0.250 0.250
Cd 0.750 0.750 0.750

=====

5.
VASP calculation (PBE) on an optimized crystal structure of Ac3Mg2Cd7.

VASP energy = -2.089 eV per atom
DOS(E_F) = 7.76 states/eV/cell

a b c (Å): 10.367 10.367 10.367
angles (deg): 34.97 34.97 34.97
Fractional coordinates of all 12 atoms:
Ac 0.000 0.000 0.000
Ac 0.141 0.141 0.141
Ac 0.859 0.859 0.859
Mg 0.334 0.334 0.334
Mg 0.666 0.666 0.666
Cd 0.076 0.584 0.584
Cd 0.416 0.416 0.924
Cd 0.416 0.924 0.416
Cd 0.500 0.500 0.500
Cd 0.584 0.076 0.584
Cd 0.584 0.584 0.076
Cd 0.924 0.416 0.416

=====

6.
VASP calculation (PBE) on an optimized crystal structure of Ac3Mg6Cd5.

VASP energy = -2.108 eV per atom
DOS(E_F) = 22.61 states/eV/cell

a b c (Å): 5.066 14.921 10.108
angles (deg): 90.00 90.00 90.00
Fractional coordinates of all 28 atoms:
Ac 0.250 0.043 0.247
Ac 0.250 0.457 0.247
Ac 0.250 0.750 0.258
Ac 0.750 0.250 0.742
Ac 0.750 0.543 0.753
Ac 0.750 0.957 0.753
Mg 0.250 0.085 0.599
Mg 0.250 0.250 0.063
Mg 0.250 0.250 0.418
Mg 0.250 0.415 0.599
Mg 0.250 0.607 0.971
Mg 0.250 0.893 0.971
Mg 0.750 0.107 0.029
Mg 0.750 0.393 0.029
Mg 0.750 0.585 0.401
Mg 0.750 0.750 0.582
Mg 0.750 0.750 0.937
Mg 0.750 0.915 0.401
Cd 0.250 0.094 0.885
Cd 0.250 0.406 0.885
Cd 0.250 0.618 0.542
Cd 0.250 0.750 0.764
Cd 0.250 0.882 0.542
Cd 0.750 0.118 0.458
Cd 0.750 0.250 0.236
Cd 0.750 0.382 0.458
Cd 0.750 0.594 0.115
Cd 0.750 0.906 0.115

=====

7.
VASP calculation (PBE) on an optimized crystal structure of Ac3MgCd2.

VASP energy = -2.851 eV per atom
DOS(E_F) = 6.58 states/eV/cell

a b c (Å): 9.145 9.145 4.096
angles (deg): 90.00 90.00 143.28
Fractional coordinates of all 6 atoms:
Ac 0.000 0.000 0.000
Ac 0.332 0.668 0.000
Ac 0.668 0.332 0.000
Mg 0.500 0.500 0.500
Cd 0.161 0.839 0.500
Cd 0.839 0.161 0.500

=====

8.
VASP calculation (PBE) on an optimized crystal structure of Ac3MgCd4.

VASP energy = -2.442 eV per atom
DOS(E_F) = 5.69 states/eV/cell

a b c (Å): 9.937 9.937 9.937
angles (deg): 32.50 32.50 32.50
Fractional coordinates of all 8 atoms:
Ac 0.000 0.000 0.000
Ac 0.244 0.244 0.244
Ac 0.756 0.756 0.756
Mg 0.500 0.500 0.500
Cd 0.127 0.127 0.127
Cd 0.377 0.377 0.377
Cd 0.623 0.623 0.623
Cd 0.873 0.873 0.873

=====

9.
VASP calculation (PBE) on an optimized crystal structure of AcMg2Cd.

VASP energy = -2.128 eV per atom
DOS(E_F) = 3.35 states/eV/cell

a b c (Å): 4.788 4.788 5.210
angles (deg): 90.00 90.00 90.00
Fractional coordinates of all 4 atoms:
Ac 0.000 0.000 0.000
Mg 0.000 0.500 0.500
Mg 0.500 0.000 0.500
Cd 0.500 0.500 0.000

=====

10.
VASP calculation (PBE) on an optimized crystal structure of Ac3Mg4Cd2.

VASP energy = -2.451 eV per atom
DOS(E_F) = 7.28 states/eV/cell

a b c (Å): 6.504 6.504 9.967
angles (deg): 116.47 116.47 48.45
Fractional coordinates of all 9 atoms:
Ac 0.000 0.000 0.000
Ac 0.333 0.333 0.335
Ac 0.667 0.667 0.665
Mg 0.056 0.056 0.388
Mg 0.281 0.281 0.945
Mg 0.719 0.719 0.055
Mg 0.944 0.944 0.612
Cd 0.391 0.391 0.724
Cd 0.609 0.609 0.276

=====

11.
VASP calculation (PBE) on an optimized crystal structure of AcMg2Cd2.

VASP energy = -2.061 eV per atom
DOS(E_F) = 2.86 states/eV/cell

a b c (Å): 7.307 7.307 7.307
angles (deg): 143.28 143.28 52.90
Fractional coordinates of all 5 atoms:
Ac 0.000 0.000 0.000
Mg 0.250 0.750 0.500
Mg 0.750 0.250 0.500
Cd 0.389 0.389 0.000
Cd 0.611 0.611 0.000

=====

12.
VASP calculation (PBE) on an optimized crystal structure of Ac2Mg12Cd5.

VASP energy = -1.842 eV per atom
DOS(E_F) = 7.11 states/eV/cell

a b c (Å): 7.817 7.817 7.817
angles (deg): 82.79 82.79 82.79
Fractional coordinates of all 19 atoms:
Ac 0.166 0.166 0.166
Ac 0.834 0.834 0.834
Mg 0.152 0.152 0.657
Mg 0.152 0.657 0.152
Mg 0.204 0.500 0.796
Mg 0.204 0.796 0.500
Mg 0.343 0.848 0.848
Mg 0.500 0.204 0.796
Mg 0.500 0.796 0.204
Mg 0.657 0.152 0.152
Mg 0.796 0.204 0.500
Mg 0.796 0.500 0.204
Mg 0.848 0.343 0.848
Mg 0.848 0.848 0.343
Cd 0.000 0.500 0.500
Cd 0.403 0.403 0.403
Cd 0.500 0.000 0.500
Cd 0.500 0.500 0.000
Cd 0.597 0.597 0.597

=====

13.
VASP calculation (PBE) on an optimized crystal structure of AcMg3Cd.

VASP energy = -2.024 eV per atom
DOS(E_F) = 4.75 states/eV/cell

a b c (Å): 7.224 7.224 6.185
angles (deg): 90.00 90.00 120.00
Fractional coordinates of all 10 atoms:
Ac 0.333 0.667 0.250
Ac 0.667 0.333 0.750
Mg 0.192 0.384 0.750
Mg 0.192 0.808 0.750
Mg 0.384 0.192 0.250
Mg 0.616 0.808 0.750
Mg 0.808 0.192 0.250
Mg 0.808 0.616 0.250
Cd 0.000 0.000 0.000
Cd 0.000 0.000 0.500

=====

14.
VASP calculation (PBE) on an optimized crystal structure of Ac3Mg2Cd4.

VASP energy = -2.391 eV per atom
DOS(E_F) = 7.80 states/eV/cell

a b c (Å): 6.468 6.468 9.828
angles (deg): 114.80 114.80 47.93
Fractional coordinates of all 9 atoms:
Ac 0.000 0.000 0.000
Ac 0.338 0.338 0.329
Ac 0.662 0.662 0.671
Mg 0.379 0.379 0.712
Mg 0.621 0.621 0.288
Cd 0.065 0.065 0.395
Cd 0.279 0.279 0.942
Cd 0.721 0.721 0.058
Cd 0.935 0.935 0.605

=====

15.
VASP calculation (PBE) on an optimized crystal structure of Ac3Mg8Cd3.

VASP energy = -2.107 eV per atom
DOS(E_F) = 10.35 states/eV/cell

a b c (Å): 9.321 9.321 9.321
angles (deg): 147.79 112.41 76.86
Fractional coordinates of all 14 atoms:
Ac 0.000 0.000 0.000
Ac 0.293 0.293 0.000
Ac 0.707 0.707 0.000
Mg 0.015 0.659 0.355
Mg 0.157 0.868 0.290
Mg 0.304 0.659 0.645
Mg 0.422 0.132 0.290
Mg 0.578 0.868 0.710
Mg 0.696 0.341 0.355
Mg 0.843 0.132 0.710
Mg 0.985 0.341 0.645
Cd 0.319 0.500 0.819
Cd 0.500 0.000 0.500
Cd 0.681 0.500 0.181

=====

16.
VASP calculation (PBE) on an optimized crystal structure of Ac3Mg3Cd2.

VASP energy = -2.524 eV per atom
DOS(E_F) = 19.15 states/eV/cell

a b c (Å): 6.432 6.432 16.759
angles (deg): 90.00 90.00 132.46
Fractional coordinates of all 16 atoms:
Ac 0.096 0.904 0.613
Ac 0.096 0.904 0.887
Ac 0.386 0.614 0.750
Ac 0.614 0.386 0.250
Ac 0.904 0.096 0.113
Ac 0.904 0.096 0.387
Mg 0.319 0.681 0.250
Mg 0.381 0.619 0.534
Mg 0.381 0.619 0.966
Mg 0.619 0.381 0.034
Mg 0.619 0.381 0.466
Mg 0.681 0.319 0.750
Cd 0.198 0.802 0.098
Cd 0.198 0.802 0.402
Cd 0.802 0.198 0.598
Cd 0.802 0.198 0.902

=====

17.
VASP calculation (PBE) on an optimized crystal structure of AcMg6Cd2.

VASP energy = -1.852 eV per atom
DOS(E_F) = 5.34 states/eV/cell

a b c (Å): 4.735 4.735 10.219
angles (deg): 90.00 90.00 90.00
Fractional coordinates of all 9 atoms:
Ac 0.000 0.000 0.000
Mg 0.000 0.000 0.500
Mg 0.000 0.500 0.299
Mg 0.000 0.500 0.701
Mg 0.500 0.000 0.299
Mg 0.500 0.000 0.701
Mg 0.500 0.500 0.500
Cd 0.500 0.500 0.138
Cd 0.500 0.500 0.862

=====

18.
VASP calculation (PBE) on an optimized crystal structure of Ac2MgCd10.

VASP energy = -1.438 eV per atom
DOS(E_F) = 17.00 states/eV/cell

a b c (Å): 10.644 12.185 6.158
angles (deg): 90.00 90.00 90.00
Fractional coordinates of all 26 atoms:
Ac 0.133 0.124 0.000
Ac 0.367 0.624 0.000
Ac 0.633 0.376 0.000
Ac 0.867 0.876 0.000
Mg 0.000 0.500 0.500
Mg 0.500 0.000 0.500
Cd 0.046 0.892 0.500
Cd 0.083 0.695 0.234
Cd 0.083 0.695 0.766
Cd 0.178 0.306 0.500
Cd 0.245 0.053 0.500
Cd 0.255 0.553 0.500
Cd 0.322 0.806 0.500
Cd 0.417 0.195 0.234
Cd 0.417 0.195 0.766
Cd 0.454 0.392 0.500
Cd 0.546 0.608 0.500
Cd 0.583 0.805 0.234
Cd 0.583 0.805 0.766
Cd 0.678 0.194 0.500
Cd 0.745 0.447 0.500
Cd 0.755 0.947 0.500
Cd 0.822 0.694 0.500
Cd 0.917 0.305 0.234
Cd 0.917 0.305 0.766
Cd 0.954 0.108 0.500

=====

19.
VASP calculation (PBE) on an optimized crystal structure of Ac2MgCd6.

VASP energy = -1.922 eV per atom
DOS(E_F) = 7.02 states/eV/cell

a b c (Å): 7.086 7.086 7.093
angles (deg): 119.89 119.89 60.07
Fractional coordinates of all 9 atoms:
Ac 0.250 0.250 0.248
Ac 0.750 0.750 0.752
Mg 0.500 0.500 0.000
Cd 0.216 0.783 0.716
Cd 0.217 0.217 0.715
Cd 0.217 0.784 0.284
Cd 0.783 0.216 0.716
Cd 0.783 0.783 0.285
Cd 0.784 0.217 0.284

=====

20.
VASP calculation (PBE) on an optimized crystal structure of Ac3Mg2Cd3.

VASP energy = -2.507 eV per atom
DOS(E_F) = 16.92 states/eV/cell

a b c (Å): 6.615 6.615 16.111
angles (deg): 90.00 90.00 134.24
Fractional coordinates of all 16 atoms:
Ac 0.090 0.910 0.611
Ac 0.090 0.910 0.889
Ac 0.386 0.614 0.750
Ac 0.614 0.386 0.250
Ac 0.910 0.090 0.111
Ac 0.910 0.090 0.389
Mg 0.206 0.794 0.091
Mg 0.206 0.794 0.409
Mg 0.794 0.206 0.591
Mg 0.794 0.206 0.909
Cd 0.327 0.673 0.250
Cd 0.390 0.610 0.538
Cd 0.390 0.610 0.962
Cd 0.610 0.390 0.038
Cd 0.610 0.390 0.462
Cd 0.673 0.327 0.750

=====

21.
VASP calculation (PBE) on an optimized crystal structure of AcMgCd4.

VASP energy = -1.753 eV per atom
DOS(E_F) = 7.89 states/eV/cell

a b c (Å): 9.331 9.331 7.352
angles (deg): 90.00 90.00 150.26
Fractional coordinates of all 12 atoms:
Ac 0.121 0.879 0.750
Ac 0.879 0.121 0.250
Mg 0.229 0.771 0.250
Mg 0.771 0.229 0.750
Cd 0.068 0.932 0.250
Cd 0.330 0.670 0.555
Cd 0.330 0.670 0.945
Cd 0.500 0.500 0.000
Cd 0.500 0.500 0.500
Cd 0.670 0.330 0.055
Cd 0.670 0.330 0.445
Cd 0.932 0.068 0.750

=====

no.,energy of formation (eV per atom)
1,-0.096
2,-0.123
3,-0.184
4,-0.266
5,-0.263
6,-0.218
7,-0.226
8,-0.244
9,-0.074
10,-0.170
11,-0.235
12,-0.162
13,-0.062
14,-0.260
15,-0.119
16,-0.157
17,-0.129
18,0.020
19,-0.222
20,-0.224
21,-0.192